No. 1
An optimized crystal structure of PrLuTe2, computed with PBE-GGA.

Cell lengths 5.4088, 5.4088, 5.4088 Å; angles 60.00, 60.00, 60.00 degrees
With the nearest neighbours (Å) after each atom.
Positions (direct):
Te 0.7500 0.7500 0.7500  4 Pr 3.31, 4 Lu 3.31
Pr 0.5000 0.5000 0.5000  8 Te 3.31
Lu 0.0000 0.0000 0.0000  8 Te 3.31
Te 0.2500 0.2500 0.2500  4 Pr 3.31, 4 Lu 3.31

Results
energy = -5.0276 eV per atom
DOS(E_F) = 3.047 states/eV/cell



No. 2
An optimized crystal structure of PrLuTh, computed with PBE-GGA.

Cell lengths 3.6034, 3.6034, 7.9709 Å; angles 103.06, 103.06, 90.00 degrees
With the nearest neighbours (Å) after each atom.
Positions (direct):
Lu 0.6750 0.6750 0.3501  4 Th 3.45, 4 Lu 3.60, 4 Pr 3.72
Pr 0.9955 0.9955 0.9909  4 Th 3.57, 4 Pr 3.60, 4 Lu 3.72
Th 0.3295 0.3295 0.6590  4 Lu 3.45, 4 Pr 3.57, 4 Th 3.60

Results
energy = -5.5282 eV per atom
DOS(E_F) = 4.357 states/eV/cell



No. 3
An optimized crystal structure of PrLuTh, computed with PBE-GGA.

Cell lengths 3.5859, 3.5859, 8.7760 Å; angles 90.00, 90.00, 120.00 degrees
With the nearest neighbours (Å) after each atom.
Positions (direct):
Th 0.3333 0.6667 0.6600  3 Lu 3.47, 6 Th 3.59, 3 Pr 3.61
Lu 0.6667 0.3333 0.3433  3 Th 3.47, 6 Lu 3.59, 3 Pr 3.68
Pr 0.0000 0.0000 0.9967  6 Pr 3.59, 3 Th 3.61, 3 Lu 3.68

Results
energy = -5.5302 eV per atom
DOS(E_F) = 4.783 states/eV/cell



No. 4
An optimized crystal structure of PrLu4Th, computed with PBE-GGA.

Cell lengths 6.5795, 6.5795, 6.5795 Å; angles 60.00, 60.00, 60.00 degrees
With the nearest neighbours (Å) after each atom.
Positions (direct):
Lu 0.6249 0.1254 0.6249  6 Lu 3.29
Pr 0.0000 0.0000 0.0000  12 Lu 3.86, 4 Th 4.03
Lu 0.6249 0.6249 0.1254  6 Lu 3.29
Lu 0.6249 0.6249 0.6249  6 Lu 3.29
Lu 0.1254 0.6249 0.6249  6 Lu 3.29
Th 0.2500 0.2500 0.2500  12 Lu 3.86, 4 Pr 4.03

Results
energy = -4.7322 eV per atom
DOS(E_F) = 8.610 states/eV/cell



No. 5
An optimized crystal structure of PrLuThZr, computed with PBE-GGA.

Cell lengths 5.5046, 5.5046, 5.5046 Å; angles 60.00, 60.00, 60.00 degrees
With the nearest neighbours (Å) after each atom.
Positions (direct):
Pr 0.2500 0.2500 0.2500  4 Zr 3.37, 4 Lu 3.37
Lu 0.5000 0.5000 0.5000  4 Th 3.37, 4 Pr 3.37
Zr 0.0000 0.0000 0.0000  4 Th 3.37, 4 Pr 3.37
Th 0.7500 0.7500 0.7500  4 Zr 3.37, 4 Lu 3.37

Results
energy = -6.1614 eV per atom
DOS(E_F) = 5.053 states/eV/cell



No. 6
An optimized crystal structure of PrLu2Ti, computed with PBE-GGA.

Cell lengths 3.3595, 3.3595, 9.7611 Å; angles 90.00, 90.00, 90.00 degrees
With the nearest neighbours (Å) after each atom.
Positions (direct):
Ti 0.5000 0.5000 0.0000  8 Lu 3.13, 4 Ti 3.36
Lu 0.0000 0.0000 0.7916  4 Ti 3.13, 4 Lu 3.36
Pr 0.5000 0.5000 0.5000  4 Pr 3.36, 8 Lu 3.71
Lu 0.0000 0.0000 0.2084  4 Ti 3.13, 4 Lu 3.36

Results
energy = -5.2920 eV per atom
DOS(E_F) = 5.346 states/eV/cell



No. 7
An optimized crystal structure of PrLuTl, computed with PBE-GGA.

Cell lengths 3.8286, 5.2663, 5.2663 Å; angles 120.00, 90.00, 90.00 degrees
With the nearest neighbours (Å) after each atom.
Positions (direct):
Tl 0.1507 0.0000 0.0000  3 Lu 3.04
Pr 0.6709 0.3333 0.6667  6 Tl 3.55-3.63, 6 Lu 3.58-3.61, 2 Pr 3.83
Lu 0.1784 0.6667 0.3333  3 Tl 3.04

Results
energy = -4.0595 eV per atom
DOS(E_F) = 2.422 states/eV/cell



No. 8
An optimized crystal structure of PrLu2Tl, computed with PBE-GGA.

Cell lengths 4.8021, 4.8902, 4.8902 Å; angles 90.00, 90.00, 90.00 degrees
With the nearest neighbours (Å) after each atom.
Positions (direct):
Lu 0.0000 0.5000 0.0000  4 Tl 3.43, 4 Pr 3.43, 4 Lu 3.46
Tl 0.5000 0.0000 0.0000  8 Lu 3.43, 4 Pr 3.46
Pr 0.5000 0.5000 0.5000  8 Lu 3.43, 4 Tl 3.46
Lu 0.0000 0.0000 0.5000  4 Tl 3.43, 4 Pr 3.43, 4 Lu 3.46

Results
energy = -4.2066 eV per atom
DOS(E_F) = 5.347 states/eV/cell



No. 9
An optimized crystal structure of PrLu2Tl, computed with PBE-GGA.

Cell lengths 3.6248, 3.6248, 9.0149 Å; angles 90.00, 90.00, 90.00 degrees
With the nearest neighbours (Å) after each atom.
Positions (direct):
Lu 0.0000 0.0000 0.7780  4 Tl 3.25, 4 Pr 3.58, 4 Lu 3.62
Lu 0.0000 0.0000 0.2220  4 Tl 3.25, 4 Pr 3.58, 4 Lu 3.62
Pr 0.5000 0.5000 0.5000  8 Lu 3.58, 4 Pr 3.62
Tl 0.5000 0.5000 0.0000  8 Lu 3.25, 4 Tl 3.62

Results
energy = -4.2104 eV per atom
DOS(E_F) = 3.236 states/eV/cell



No. 10
An optimized crystal structure of PrLuTl, computed with PBE-GGA.

Cell lengths 5.2507, 5.2507, 5.2507 Å; angles 60.00, 60.00, 60.00 degrees
With the nearest neighbours (Å) after each atom.
Positions (direct):
Lu 0.0000 0.0000 0.0000  4 Tl 3.22
Tl 0.2500 0.2500 0.2500  4 Pr 3.22, 4 Lu 3.22
Pr 0.5000 0.5000 0.5000  4 Tl 3.22

Results
energy = -3.9072 eV per atom
DOS(E_F) = 5.117 states/eV/cell



No. 11
An optimized crystal structure of PrLu2Tl, computed with PBE-GGA.

Cell lengths 5.4514, 5.4514, 5.4514 Å; angles 60.00, 60.00, 60.00 degrees
With the nearest neighbours (Å) after each atom.
Positions (direct):
Lu 0.7500 0.7500 0.7500  4 Pr 3.34, 4 Tl 3.34
Pr 0.0000 0.0000 0.0000  8 Lu 3.34
Lu 0.2500 0.2500 0.2500  4 Tl 3.34, 4 Pr 3.34
Tl 0.5000 0.5000 0.5000  8 Lu 3.34

Results
energy = -4.0030 eV per atom
DOS(E_F) = 5.576 states/eV/cell



No. 12
An optimized crystal structure of PrLuTl2, computed with PBE-GGA.

Cell lengths 3.8065, 3.8065, 7.7566 Å; angles 90.00, 90.00, 90.00 degrees
With the nearest neighbours (Å) after each atom.
Positions (direct):
Tl 0.0000 0.0000 0.2304  4 Lu 3.23, 4 Pr 3.41, 1 Tl 3.57
Lu 0.5000 0.5000 0.0000  8 Tl 3.23
Tl 0.0000 0.0000 0.7696  4 Lu 3.23, 4 Pr 3.41, 1 Tl 3.57
Pr 0.5000 0.5000 0.5000  8 Tl 3.41, 4 Pr 3.81

Results
energy = -3.8476 eV per atom
DOS(E_F) = 3.015 states/eV/cell